[1]
Density functional theory data (GGA-PBE) for a geometry-optimized LaPrTlBr structure.

For the size of the total moment, the calculation gives 0.0 μB per formula unit. The calculation puts the uncorrected formation energy at -0.786 eV per atom. The total energy comes out at -4.223 eV/atom. For the offset from the most stable computed form, the calculation gives 0.000 eV/atom.

The structure belongs to space group R3m (No. 160, hexagonal axes); the cell edges are 4.5981, 4.5981 and 21.1669 Å and the angles 90.00°, 90.00° and 120.00°. The inequivalent atoms are La at (0.0000, 0.0000, 0.0000), Pr at (0.0000, 0.0000, 0.4995), Tl at (0.0000, 0.0000, 0.7508) and Br at (0.0000, 0.0000, 0.2495).


[2]
Density functional theory data (GGA-PBE) for a geometry-optimized LaPrZnBr structure.

For the size of the total moment, the calculation gives 0.0 μB per formula unit. The calculation puts the uncorrected formation energy at -0.547 eV per atom. The total energy comes out at -3.710 eV/atom.

The structure belongs to space group F-43m (No. 216); the cell edges are 7.587, 7.587 and 7.587 Å and the angles 90.00°, 90.00° and 90.00°. The inequivalent atoms are La at (0.000, 0.000, 0.000), Pr at (0.000, 0.000, 0.500), Zn at (0.250, 0.250, 0.750) and Br at (0.250, 0.250, 0.250).


[3]
Density functional theory data (GGA-PBE) for a geometry-optimized La8Pt6Br structure.

For the size of the total moment, the calculation gives 0.0 μB per formula unit. The calculation puts the uncorrected formation energy at -1.065 eV per atom. The total energy comes out at -6.221 eV/atom.

The structure belongs to space group P-3 (No. 147); the cell edges are 11.0287, 11.0287 and 4.5198 Å and the angles 90.00°, 90.00° and 120.00°. The inequivalent atoms are La at (0.0251, 0.6742, 0.2423), La at (0.3333, 0.6667, 0.7544), Pt at (0.1522, 0.4859, 0.2553) and Br at (0.0000, 0.0000, 0.0000).


[4]
Density functional theory data (GGA-PBE) for a geometry-optimized LaPt3Br structure.

For the size of the total moment, the calculation gives 0.0 μB per formula unit. The calculation puts the uncorrected formation energy at 0.929 eV per atom. The total energy comes out at -4.015 eV/atom. For the offset from the most stable computed form, the calculation gives 0.788 eV/atom.

The structure belongs to space group Pm-3m (No. 221); the cell edges are 5.277, 5.277 and 5.277 Å and the angles 90.00°, 90.00° and 90.00°. The inequivalent atoms are La at (0.000, 0.000, 0.000), Pt at (0.000, 0.000, 0.500) and Br at (0.500, 0.500, 0.500).


[5]
Density functional theory data (GGA-PBE) for a geometry-optimized La4Pt2Br structure.

For the size of the total moment, the calculation gives 0.0 μB per formula unit. The calculation puts the uncorrected formation energy at -1.084 eV per atom. The total energy comes out at -5.864 eV/atom.

The structure belongs to space group R-3m (No. 166, hexagonal axes); the cell edges are 4.2694, 4.2694 and 43.9611 Å and the angles 90.00°, 90.00° and 120.00°. The inequivalent atoms are La at (0.0000, 0.0000, 0.1258), La at (0.0000, 0.0000, 0.2795), Pt at (0.0000, 0.0000, 0.4232) and Br at (0.0000, 0.0000, 0.0000).


[6]
Density functional theory data (GGA-PBE) for a geometry-optimized LaPtBr structure.

For the size of the total moment, the calculation gives 0.0 μB per formula unit. The calculation puts the uncorrected formation energy at -1.165 eV per atom. The total energy comes out at -5.379 eV/atom.

The structure belongs to space group I4mm (No. 107); the cell edges are 3.777, 3.777 and 10.893 Å and the angles 90.00°, 90.00° and 90.00°. The inequivalent atoms are La at (0.000, 0.000, 0.000), Pt at (0.000, 0.000, 0.621) and Br at (0.000, 0.000, 0.312).


[7]
Density functional theory data (GGA-PBE) for a geometry-optimized La4Pt2Br3 structure.

For the size of the total moment, the calculation gives 0.0 μB per formula unit. The calculation puts the uncorrected formation energy at -1.479 eV per atom. The total energy comes out at -5.569 eV/atom.

The structure belongs to space group C2/m (No. 12); the cell edges are 7.376, 4.258 and 18.765 Å and the angles 90.00°, 90.08° and 90.00°. The inequivalent atoms are La at (0.001, 0.000, 0.302), La at (0.166, 0.500, 0.873), Pt at (0.168, 0.500, 0.209), Br at (0.000, 0.000, 0.000) and Br at (0.165, 0.500, 0.595).


[8]
Density functional theory data (GGA-PBE) for a geometry-optimized La3Pt2Br structure.

For the size of the total moment, the calculation gives 0.0 μB per formula unit. The calculation puts the uncorrected formation energy at -0.984 eV per atom. The total energy comes out at -5.740 eV/atom.

The structure belongs to space group Cmcm (No. 63); the cell edges are 4.707, 14.518 and 10.432 Å and the angles 90.00°, 90.00° and 90.00°. The inequivalent atoms are La at (0.000, 0.114, 0.250), La at (0.000, 0.378, 0.046), Pt at (0.000, 0.000, 0.000), Pt at (0.000, 0.486, 0.750) and Br at (0.000, 0.222, 0.750).